No. 1
Na3Dy3US8 | PBE-GGA | optimized geometry

Lattice parameters (Å, degrees): 7.976 7.978 8.145 119.34 90.00 119.99
Each line ends with the local moment (μB).
Sites, in units of the cell vectors:
S: 0.237 0.983 0.720  -0.03
S: 0.258 0.516 0.274  0.00
Na: 0.500 0.500 0.000  0.00
Dy: 0.500 0.000 0.500  0.02
S: 0.763 0.017 0.280  -0.03
Dy: 0.000 0.500 0.500  0.02
S: 0.742 0.484 0.726  0.00
Na: 0.000 0.500 0.000  0.00
S: 0.763 0.526 0.280  -0.03
S: 0.237 0.474 0.720  -0.03
S: 0.255 0.017 0.280  -0.03
Na: 0.000 0.000 0.000  0.00
S: 0.745 0.983 0.720  -0.03
Dy: 0.500 0.500 0.500  0.02
U: 0.000 0.000 0.500  1.97

Calculated values
Size of the total moment: 0.133 μB per atom
Calculated volume: 370 Å³ per cell
Formation energy (no corrections): -1737 meV/atom
E: -88.1 eV/f.u.


No. 2
TaMnFe | PBE-GGA | optimized geometry

Lattice parameters (Å, degrees): 4.107 4.107 4.107 60.00 60.00 60.00
Each line ends with the local moment (μB).
Sites, in units of the cell vectors:
Fe: 0.000 0.000 0.000  1.42
Ta: 0.750 0.750 0.750  -0.56
Mn: 0.500 0.500 0.500  2.49

Calculated values
Size of the total moment: 1.113 μB per atom
Calculated volume: 49 Å³ per cell
Formation energy: 746 meV/atom
E: -27.2 eV/f.u.


No. 3
Dy3Ge6Pt20 | PBE-GGA | optimized geometry

Lattice parameters (Å, degrees): 8.889 8.889 8.889 60.00 60.00 60.00
Sites, in units of the cell vectors:
Pt: 0.000 0.347 0.000
Dy: 0.750 0.750 0.750
Pt: 0.000 0.000 0.653
Pt: 0.619 0.142 0.619
Pt: 0.347 0.000 0.653
Pt: 0.619 0.619 0.619
Ge: 0.731 0.269 0.731
Ge: 0.731 0.731 0.269
Ge: 0.269 0.269 0.731
Pt: 0.619 0.619 0.142
Pt: 0.653 0.347 0.000
Pt: 0.653 0.000 0.000
Ge: 0.269 0.731 0.731
Pt: 0.142 0.619 0.619
Pt: 0.381 0.381 0.381
Ge: 0.731 0.269 0.269
Pt: 0.000 0.000 0.347
Pt: 0.000 0.347 0.653
Pt: 0.653 0.000 0.347
Pt: 0.000 0.653 0.347
Pt: 0.381 0.381 0.858
Dy: 0.250 0.250 0.250
Pt: 0.381 0.858 0.381
Ge: 0.269 0.731 0.269
Pt: 0.000 0.653 0.000
Pt: 0.347 0.653 0.000
Pt: 0.347 0.000 0.000
Dy: 0.000 0.000 0.000
Pt: 0.858 0.381 0.381

Calculated values
Size of the total moment: 0.000 μB per atom
Calculated volume: 497 Å³ per cell
Formation energy: -584 meV/atom
E: -179.3 eV/f.u.


No. 4
LiDyAu | PBE-GGA | optimized geometry

Lattice parameters (Å, degrees): 4.728 4.728 4.728 60.00 60.00 60.00
Sites, in units of the cell vectors:
Li: 0.500 0.500 0.500
Dy: 0.000 0.000 0.000
Au: 0.250 0.250 0.250

Calculated values
Size of the total moment: 0.000 μB per atom
Calculated volume: 75 Å³ per cell
Formation energy: -440 meV/atom
E: -11.1 eV/f.u.


No. 5
PtI6N4 | PBE-GGA | optimized geometry

Lattice parameters (Å, degrees): 7.782 7.791 13.196 90.00 90.00 90.00
Sites, in units of the cell vectors:
N: 0.787 0.793 0.144
N: 0.287 0.707 0.644
I: 0.000 0.000 0.191
I: 0.500 0.500 0.691
I: 0.243 0.751 0.000
I: 0.239 0.756 0.500
N: 0.213 0.207 0.856
Pt: 0.500 0.500 0.500
I: 0.743 0.749 0.500
N: 0.287 0.707 0.356
I: 0.257 0.251 0.500
I: 0.500 0.500 0.309
N: 0.713 0.293 0.356
I: 0.739 0.744 0.000
I: 0.261 0.256 0.000
N: 0.213 0.207 0.144
I: 0.000 0.000 0.809
N: 0.713 0.293 0.644
I: 0.757 0.249 0.000
N: 0.787 0.793 0.856
I: 0.761 0.244 0.500
Pt: 0.000 0.000 0.000

Calculated values
Size of the total moment: 0.000 μB per atom
Calculated volume: 800 Å³ per cell
Formation energy (no corrections): 1464 meV/atom
E: -32.5 eV/f.u.


No. 6
Fe2Ir2Rh | PBE-GGA | optimized geometry

Lattice parameters (Å, degrees): 7.035 7.035 2.720 90.00 90.00 90.00
Each line ends with the local moment (μB).
Sites, in units of the cell vectors:
Ir: 0.325 0.175 0.500  0.13
Fe: 0.381 0.881 0.000  1.71
Rh: 0.500 0.500 0.000  0.14
Fe: 0.119 0.381 0.000  1.64
Fe: 0.881 0.619 0.000  1.64
Fe: 0.619 0.119 0.000  1.71
Ir: 0.825 0.325 0.500  0.12
Rh: 0.000 0.000 0.000  0.14
Ir: 0.675 0.825 0.500  0.13
Ir: 0.175 0.675 0.500  0.12

Calculated values
Size of the total moment: 0.758 μB per atom
Calculated volume: 135 Å³ per cell
Formation energy: 162 meV/atom
E: -41.2 eV/f.u.